Record 1
Here is a relaxed structure of Mg2CoCu from Alexandria via LeMat-Bulk. Energies are from PBE-GGA.

a b c (Å): 4.910 4.910 4.910
angles (deg): 134.41 134.41 66.45
Sites, in units of the cell vectors:
Mg (0.000, 0.000, 0.000)
Mg (0.750, 0.250, 0.500)
Co (0.250, 0.750, 0.500)
Cu (0.500, 0.500, 0.000)

Output
As for the magnetic moment: 0.20 μB/atom. As for the energy of formation from the pure elements: 118 meV per atom. As for the density of states at the Fermi level: 3.21 states/eV/cell.

Record 2
Here is a relaxed structure of DyFe4Si2 from Alexandria via LeMat-Bulk. Energies are from PBE-GGA.

a b c (Å): 7.078 7.078 3.735
angles (deg): 90.00 90.00 90.00
Sites, in units of the cell vectors:
Dy (0.000, 0.000, 0.000)
Dy (0.500, 0.500, 0.500)
Fe (0.085, 0.353, 0.500)
Fe (0.147, 0.585, 0.000)
Fe (0.353, 0.085, 0.500)
Fe (0.415, 0.853, 0.000)
Fe (0.585, 0.147, 0.000)
Fe (0.647, 0.915, 0.500)
Fe (0.853, 0.415, 0.000)
Fe (0.915, 0.647, 0.500)
Si (0.219, 0.781, 0.500)
Si (0.281, 0.281, 0.000)
Si (0.719, 0.719, 0.000)
Si (0.781, 0.219, 0.500)

Output
Its total energy is -7.496 eV per atom. As for the magnetic moment: 0.55 μB/atom. As for the density of states at the Fermi level: 11.29 states/eV/cell.

Record 3
Here is a relaxed structure of Sc6Mo7 from Alexandria via LeMat-Bulk. Energies are from PBE-GGA.

a b c (Å): 10.358 10.358 10.358
angles (deg): 30.14 30.14 30.14
Sites, in units of the cell vectors:
Sc (0.049, 0.049, 0.049)
Sc (0.150, 0.150, 0.150)
Sc (0.332, 0.332, 0.332)
Sc (0.668, 0.668, 0.668)
Sc (0.850, 0.850, 0.850)
Sc (0.951, 0.951, 0.951)
Mo (0.088, 0.594, 0.594)
Mo (0.406, 0.406, 0.912)
Mo (0.406, 0.912, 0.406)
Mo (0.500, 0.500, 0.500)
Mo (0.594, 0.088, 0.594)
Mo (0.594, 0.594, 0.088)
Mo (0.912, 0.406, 0.406)

Output
As for the magnetic moment: 0.00 μB/atom. As for the energy of formation from the pure elements: 40 meV per atom. As for the density of states at the Fermi level: 16.20 states/eV/cell.

Record 4
Here is a relaxed structure of VCuSbTe2 from Alexandria via LeMat-Bulk. Energies are from PBE-GGA.

a b c (Å): 5.134 5.134 4.916
angles (deg): 90.00 90.00 90.00
Sites, in units of the cell vectors:
V (0.000, 0.000, 0.000)
Cu (0.500, 0.500, 0.500)
Sb (0.500, 0.500, 0.000)
Te (0.000, 0.500, 0.500)
Te (0.500, 0.000, 0.500)

Output
Its total energy is -3.756 eV per atom. As for the magnetic moment: 0.03 μB/atom. As for the density of states at the Fermi level: 11.04 states/eV/cell.

Record 5
Here is a relaxed structure of YCrBiN2 from Alexandria via LeMat-Bulk. Energies are from PBE-GGA.

a b c (Å): 4.017 4.017 5.454
angles (deg): 90.00 90.00 90.00
Sites, in units of the cell vectors:
Y (0.000, 0.000, 0.000)
Cr (0.000, 0.000, 0.500)
Bi (0.500, 0.500, 0.000)
N (0.000, 0.500, 0.500)
N (0.500, 0.000, 0.500)

Output
Its total energy is -6.564 eV per atom. As for the magnetic moment: 0.00 μB/atom. As for the density of states at the Fermi level: 4.28 states/eV/cell.

Record 6
Here is a relaxed structure of DyGa3Pt3 from Alexandria via LeMat-Bulk. Energies are from PBE-GGA.

a b c (Å): 6.824 6.824 6.824
angles (deg): 90.00 90.00 90.00
Sites, in units of the cell vectors:
Dy (0.000, 0.000, 0.000)
Dy (0.500, 0.500, 0.500)
Ga (0.000, 0.250, 0.500)
Ga (0.000, 0.750, 0.500)
Ga (0.250, 0.500, 0.000)
Ga (0.500, 0.000, 0.250)
Ga (0.500, 0.000, 0.750)
Ga (0.750, 0.500, 0.000)
Pt (0.000, 0.500, 0.250)
Pt (0.000, 0.500, 0.750)
Pt (0.250, 0.000, 0.500)
Pt (0.500, 0.250, 0.000)
Pt (0.500, 0.750, 0.000)
Pt (0.750, 0.000, 0.500)

Output
As for the magnetic moment: 0.00 μB/atom. As for the energy of formation from the pure elements: -357 meV per atom. As for the density of states at the Fermi level: 9.48 states/eV/cell.

Record 7
Here is a relaxed structure of LaIrPt from Alexandria via LeMat-Bulk. Energies are from PBE-GGA.

a b c (Å): 4.395 4.395 4.084
angles (deg): 90.00 90.00 120.00
Sites, in units of the cell vectors:
La (0.000, 0.000, 0.000)
Ir (0.667, 0.333, 0.500)
Pt (0.333, 0.667, 0.500)

Output
As for the magnetic moment: 0.00 μB/atom. As for the energy of formation from the pure elements: -815 meV per atom. As for the density of states at the Fermi level: 1.23 states/eV/cell.

Record 8
Here is a relaxed structure of TmTh2Zn from Alexandria via LeMat-Bulk. Energies are from PBE-GGA.

a b c (Å): 11.872 11.872 11.872
angles (deg): 16.36 16.36 16.36
Sites, in units of the cell vectors:
Tm (0.000, 0.000, 0.000)
Th (0.095, 0.095, 0.095)
Th (0.905, 0.905, 0.905)
Zn (0.500, 0.500, 0.500)

Output
As for the magnetic moment: 0.00 μB/atom. As for the energy of formation from the pure elements: 225 meV per atom. As for the density of states at the Fermi level: 4.25 states/eV/cell.